# Ac4CSI2 | Alexandria via LeMat-Bulk | PBE | relaxed
# * crystal system: monoclinic
# * formation energy from raw total energies: -8.15 eV/f.u.
data_Ac4CSI2
_chemical_formula_sum 'Ac4 C1 S1 I2'
_cell_length_a 4.196
_cell_length_b 7.446
_cell_length_c 8.585
_cell_angle_alpha 106.05
_cell_angle_beta 90.00
_cell_angle_gamma 90.00
_space_group_name_H-M_alt 'P 1'
_space_group_IT_number 1
_space_group_name_Hall 'P 1'
loop_
_atom_site_label
_atom_site_fract_x
_atom_site_fract_y
_atom_site_fract_z
_atom_site_occupancy
S1 0.000 0.000 0.000 1
Ac1 0.000 0.707 0.182 1
Ac2 0.500 0.255 0.188 1
Ac3 0.000 0.293 0.818 1
I1 0.000 0.500 0.500 1
Ac4 0.500 0.745 0.812 1
I2 0.500 0.000 0.500 1
C1 0.500 0.500 0.000 1